Record 1
Density functional theory data (PBE) for crystalline CeDy2Se3 at its relaxed geometry.

## Properties
Crystal system: orthorhombic
Symmetry: No. 71
D(E_F): 7.13 states/eV per cell
Calculated density: 7871 kg/m3
Energy relative to the elements, uncorrected: -1776 meV per atom

Lattice parameters (Å, degrees): 7.164 7.164 7.164 146.88 131.96 59.60
Fractional coordinates of all 6 atoms:
Ce 0.000 0.000 0.000
Dy 0.335 0.335 0.000
Dy 0.665 0.665 0.000
Se 0.173 0.673 0.500
Se 0.500 0.000 0.500
Se 0.827 0.327 0.500



Record 2
Density functional theory data (PBE) for crystalline CeDySe3 at its relaxed geometry.

## Properties
Crystal system: orthorhombic
Symmetry: No. 62
Energy above the most stable polymorph in this dataset: 0.000 eV per atom
D(E_F): 24.59 states/eV per cell
Calculated density: 6963 kg/m3
Energy relative to the elements, uncorrected: -1858 meV per atom

Lattice parameters (Å, degrees): 7.743 4.149 16.021 90.00 90.00 90.00
Fractional coordinates of all 20 atoms:
Ce 0.137 0.250 0.203
Ce 0.363 0.750 0.703
Ce 0.637 0.250 0.297
Ce 0.863 0.750 0.797
Dy 0.232 0.750 0.457
Dy 0.268 0.250 0.957
Dy 0.732 0.750 0.043
Dy 0.768 0.250 0.543
Se 0.009 0.250 0.394
Se 0.123 0.750 0.064
Se 0.151 0.250 0.782
Se 0.349 0.750 0.282
Se 0.377 0.250 0.564
Se 0.491 0.750 0.894
Se 0.509 0.250 0.106
Se 0.623 0.750 0.436
Se 0.651 0.250 0.718
Se 0.849 0.750 0.218
Se 0.877 0.250 0.936
Se 0.991 0.750 0.606



Record 3
Density functional theory data (PBE) for crystalline Ce6DySe12 at its relaxed geometry.

## Properties
Crystal system: trigonal
Symmetry: No. 148
D(E_F): 27.91 states/eV per cell
Calculated density: 5736 kg/m3
Energy relative to the elements, uncorrected: -1731 meV per atom

Lattice parameters (Å, degrees): 8.405 8.405 8.405 99.74 99.74 99.74
Fractional coordinates of all 19 atoms:
Ce 0.123 0.635 0.803
Ce 0.197 0.877 0.365
Ce 0.365 0.197 0.877
Ce 0.635 0.803 0.123
Ce 0.803 0.123 0.635
Ce 0.877 0.365 0.197
Dy 0.500 0.500 0.500
Se 0.069 0.323 0.922
Se 0.078 0.931 0.677
Se 0.175 0.549 0.433
Se 0.323 0.922 0.069
Se 0.433 0.175 0.549
Se 0.451 0.567 0.825
Se 0.549 0.433 0.175
Se 0.567 0.825 0.451
Se 0.677 0.078 0.931
Se 0.825 0.451 0.567
Se 0.922 0.069 0.323
Se 0.931 0.677 0.078



Record 4
Density functional theory data (PBE) for crystalline CeDy3Se4 at its relaxed geometry.

## Properties
Crystal system: orthorhombic
Symmetry: No. 65
D(E_F): 8.74 states/eV per cell
Calculated density: 8000 kg/m3
Energy relative to the elements, uncorrected: -1771 meV per atom

Lattice parameters (Å, degrees): 7.131 7.131 4.075 90.00 90.00 109.05
Fractional coordinates of all 8 atoms:
Ce 0.000 0.000 0.000
Dy 0.000 0.500 0.500
Dy 0.500 0.000 0.500
Dy 0.500 0.500 0.000
Se 0.254 0.746 0.000
Se 0.257 0.257 0.500
Se 0.743 0.743 0.500
Se 0.746 0.254 0.000



Record 5
Density functional theory data (PBE) for crystalline CeDy6Se8 at its relaxed geometry.

## Properties
Crystal system: cubic
Symmetry: No. 225
D(E_F): 13.25 states/eV per cell
Calculated density: 7593 kg/m3
Energy relative to the elements, uncorrected: -1807 meV per atom

Lattice parameters (Å, degrees): 8.145 8.145 8.145 60.00 60.00 60.00
Fractional coordinates of all 15 atoms:
Ce 0.000 0.000 0.000
Dy 0.000 0.000 0.500
Dy 0.000 0.500 0.000
Dy 0.000 0.500 0.500
Dy 0.500 0.000 0.000
Dy 0.500 0.000 0.500
Dy 0.500 0.500 0.000
Se 0.250 0.250 0.250
Se 0.259 0.259 0.741
Se 0.259 0.741 0.259
Se 0.259 0.741 0.741
Se 0.741 0.259 0.259
Se 0.741 0.259 0.741
Se 0.741 0.741 0.259
Se 0.750 0.750 0.750



Record 6
Density functional theory data (PBE) for crystalline Ce2Dy2Se5 at its relaxed geometry.

## Properties
Crystal system: orthorhombic
Symmetry: No. 64
D(E_F): 31.65 states/eV per cell
Calculated density: 7369 kg/m3
Energy relative to the elements, uncorrected: -1738 meV per atom

Lattice parameters (Å, degrees): 8.368 8.368 7.790 90.00 90.00 55.71
Fractional coordinates of all 18 atoms:
Ce 0.198 0.198 0.000
Ce 0.302 0.302 0.500
Ce 0.698 0.698 0.500
Ce 0.802 0.802 0.000
Dy 0.153 0.847 0.655
Dy 0.347 0.653 0.155
Dy 0.653 0.347 0.845
Dy 0.847 0.153 0.345
Se 0.000 0.000 0.000
Se 0.024 0.709 0.347
Se 0.209 0.524 0.847
Se 0.291 0.976 0.347
Se 0.476 0.791 0.847
Se 0.500 0.500 0.500
Se 0.524 0.209 0.153
Se 0.709 0.024 0.653
Se 0.791 0.476 0.153
Se 0.976 0.291 0.653